Model 1:
A PBEsol-optimized structure of Mn2PO5, computed with meta-GGA SCAN.

Geometry as POSCAR:
```
Mn2PO5
1.0
4.0171 -3.7353 0.0000
4.0171 3.7353 0.0000
-4.0075 0.0000 6.0416
Mn P O
4 2 10
Cartesian
0.0000 0.0000 0.0000
-2.0037 0.0000 3.0208
2.0085 1.8676 0.0000
0.0048 -1.8676 3.0208
1.0115 0.9342 4.5312
3.0152 -0.9342 1.5104
3.0152 2.8042 1.5104
0.0851 1.8411 5.3730
1.9378 1.8411 3.6893
0.0835 0.0283 3.6908
2.0872 -0.0283 0.6700
1.9394 0.0283 5.3715
3.9431 -0.0283 2.3507
2.0889 -1.8411 2.3522
3.9415 -1.8411 0.6686
1.0115 -2.8042 4.5312
```

## Properties
Calculated volume = 181.3 Å³/cell
Space-group type = C2/c, No. 15

---

Model 2:
A PBEsol-optimized structure of Mn2PO5, computed with meta-GGA SCAN.

Geometry as POSCAR:
```
Mn2PO5
1.0
8.4389 0.0000 0.0000
0.0000 6.3033 0.0000
-1.3189 0.0000 6.2293
Mn P O
8 4 20
Cartesian
-0.1954 0.9091 1.3879
-0.8549 2.2426 4.5026
1.5924 0.7922 6.1759
2.2519 2.3595 3.0612
4.8681 3.9439 3.1681
5.5276 5.5111 0.0535
7.9748 4.0608 1.7268
7.3154 5.3942 4.8415
1.1535 3.7424 6.1952
1.8130 5.7126 3.0806
5.3070 0.5907 3.1488
5.9665 2.5609 0.0341
-0.2930 0.6783 5.4295
0.3665 2.4734 2.3149
0.9913 4.2249 0.1576
0.3319 5.2301 3.2723
1.7491 0.2037 1.7265
1.0896 2.9479 4.8412
2.1872 0.4719 4.1299
2.8466 2.6798 1.0152
2.7402 4.4921 3.0543
2.0807 4.9629 6.1690
5.0393 1.3404 0.0603
4.3798 1.8112 3.1750
4.2734 3.6235 5.2141
4.9328 5.8315 2.0995
6.0304 3.3554 1.3882
5.3709 6.0996 4.5029
6.7881 1.0732 2.9571
6.1286 2.0785 6.0718
6.7535 3.8299 3.9145
7.4130 5.6251 0.7998
```

## Properties
Calculated volume = 331.4 Å³/cell
Space-group type = P2_1/c, No. 14

---

According to the calculations, the structures order from most to least stable as model 1, model 2.

---

Model 1:
A PBEsol-optimized structure of RbMnPO2, computed with meta-GGA SCAN.

Geometry as POSCAR:
```
RbMnPO2
1.0
4.0752 0.0000 0.0000
0.0000 4.0752 0.0000
0.0000 0.0000 6.1790
Rb Mn P O
1 1 1 2
Cartesian
0.0000 0.0000 0.0000
2.0376 2.0376 3.0895
0.0000 0.0000 3.0895
0.0000 2.0376 0.0000
2.0376 0.0000 0.0000
```

## Properties
Calculated volume = 102.6 Å³/cell
Space-group type = P4/mmm, No. 123

---

Model 2:
A PBEsol-optimized structure of RbMnPO2, computed with meta-GGA SCAN.

Geometry as POSCAR:
```
RbMnPO2
1.0
3.9783 0.0000 0.0000
0.0000 3.9783 0.0000
0.0000 0.0000 4.4273
Rb Mn P O
1 1 1 2
Cartesian
0.0000 0.0000 0.0000
1.9891 1.9891 2.2136
1.9891 1.9891 0.0000
0.0000 1.9891 2.2136
1.9891 0.0000 2.2136
```

## Properties
Calculated volume = 70.1 Å³/cell
Space-group type = P4/mmm, No. 123

---

According to the calculations, the structures order from most to least stable as model 2, model 1.

---

Model 1:
A PBEsol-optimized structure of MnSe2O5, computed with meta-GGA SCAN.

Geometry as POSCAR:
```
MnSe2O5
1.0
6.8853 0.0000 0.0000
0.0000 10.5692 0.0000
0.0000 0.0000 6.1374
Mn Se O
4 8 20
Cartesian
0.0000 0.6348 1.5344
0.0000 9.9345 4.6031
3.4426 4.6499 4.6031
3.4426 5.9194 1.5344
0.9067 3.6465 0.1965
0.9067 6.9228 3.2652
2.5359 1.6381 3.2652
2.5359 8.9311 0.1965
4.3494 1.6381 5.9409
4.3494 8.9311 2.8722
5.9786 3.6465 2.8722
5.9786 6.9228 5.9409
0.0000 4.5752 1.5344
0.0000 5.9940 4.6031
1.0981 0.6954 3.3458
1.0981 9.8738 0.2771
1.3550 2.2316 1.0141
1.3550 8.3376 4.0828
2.0877 3.0530 4.0828
2.0877 7.5162 1.0141
2.3446 4.5892 0.2771
2.3446 5.9801 3.3458
3.4426 0.7094 4.6031
3.4426 9.8599 1.5344
4.5407 4.5892 2.7916
4.5407 5.9801 5.8603
4.7976 3.0530 5.1233
4.7976 7.5162 2.0546
5.5303 2.2316 2.0546
5.5303 8.3376 5.1233
5.7872 0.6954 5.8603
5.7872 9.8738 2.7916
```

## Properties
Calculated volume = 446.6 Å³/cell
Space-group type = Pbcn, No. 60

---

Model 2:
A PBEsol-optimized structure of MnSe2O5, computed with meta-GGA SCAN.

Geometry as POSCAR:
```
MnSe2O5
1.0
4.0055 -5.4239 0.0000
4.0055 5.4239 0.0000
-2.4830 0.0000 5.0618
Mn Se O
2 4 10
Cartesian
2.1433 4.5127 3.7964
3.3848 -4.5127 1.2655
0.5721 1.5101 4.4912
1.8136 -1.5101 1.9603
3.7144 1.5101 3.1015
4.9559 -1.5101 0.5706
0.5645 3.1185 3.9676
-0.4462 0.6985 3.3751
0.7953 -0.6985 0.8442
3.7221 3.1185 3.6252
2.1433 0.8320 3.7964
3.3848 -0.8320 1.2655
1.8060 -3.1185 1.4367
4.7327 0.6985 4.2177
5.9743 -0.6985 1.6868
4.9636 -3.1185 1.0943
```

## Properties
Calculated volume = 219.9 Å³/cell
Space-group type = C2/c, No. 15

---

According to the calculations, the structures order from most to least stable as model 1, model 2.

---

Model 1:
A PBEsol-optimized structure of Mn5SnO8, computed with meta-GGA SCAN.

Geometry as POSCAR:
```
Mn5SnO8
1.0
-2.9455 2.9455 4.7438
2.9455 -2.9455 4.7438
2.9455 2.9455 -4.7438
Mn Sn O
5 1 8
Cartesian
0.0000 0.0000 0.0000
2.9455 1.4452 -1.1464
1.4452 2.9455 1.1464
1.5003 0.0000 5.8902
0.0000 1.5003 3.5973
2.9455 0.0000 2.3719
1.6883 2.9455 -1.0718
1.2572 0.0000 3.6720
2.9455 1.6883 1.0718
0.0000 1.6316 1.2132
0.0000 1.2572 5.8156
0.0000 4.2593 1.2132
-1.3138 2.9455 3.5306
1.3138 2.9455 3.5306
```

## Properties
Calculated volume = 164.6 Å³/cell
Space-group type = I-4m2, No. 119

---

Model 2:
A PBEsol-optimized structure of Mn5SnO8, computed with meta-GGA SCAN.

Geometry as POSCAR:
```
Mn5SnO8
1.0
5.8324 0.0000 0.0000
2.8413 5.5675 0.0000
2.8418 -0.5579 9.9398
Mn Sn O
10 2 16
Cartesian
0.0000 0.0000 0.0000
2.8417 0.9153 7.5405
2.8418 2.5032 4.9684
8.6736 3.9847 2.5729
1.4850 1.1600 2.4862
4.3270 3.6572 7.4567
5.7682 1.1541 9.3421
5.7681 4.2228 4.3723
4.2993 1.1587 2.4856
7.1411 3.6558 7.4558
5.7356 3.7306 0.6422
5.7361 0.6608 5.6140
4.0823 4.8780 1.3498
4.0834 1.8094 6.3164
4.1764 3.1907 3.7365
4.1769 0.1220 8.7060
2.9025 0.5300 3.6639
2.9024 1.9259 1.3937
5.7442 3.0280 8.6333
5.7442 4.4264 6.3654
5.8057 0.4349 3.5043
5.8056 1.7404 1.3784
8.6479 2.9285 8.4732
8.6478 4.2367 6.3500
7.4204 1.7533 6.2819
7.4204 4.8212 1.3148
7.3458 0.0987 8.6916
7.3458 3.1672 3.7224
```

## Properties
Calculated volume = 322.8 Å³/cell
Space-group type = P1, No. 1

---

According to the calculations, the structures order from most to least stable as model 2, model 1.

---

Model 1:
A PBEsol-optimized structure of Sr2Mn2O5, computed with meta-GGA SCAN.

Geometry as POSCAR:
```
Sr2Mn2O5
1.0
5.4423 0.0000 0.0000
0.0000 5.4423 0.0000
0.0000 0.0000 3.7060
Sr Mn O
2 2 5
Cartesian
0.0000 2.7212 0.0000
2.7212 0.0000 0.0000
0.0000 0.0000 1.8530
2.7212 2.7212 1.8530
0.0000 0.0000 0.0000
1.3893 1.3893 1.8530
1.3893 4.0530 1.8530
4.0530 1.3893 1.8530
4.0530 4.0530 1.8530
```

## Properties
Calculated volume = 109.8 Å³/cell
Space-group type = P4/mmm, No. 123

---

Model 2:
A PBEsol-optimized structure of Sr2Mn2O5, computed with meta-GGA SCAN.

Geometry as POSCAR:
```
Sr2Mn2O5
1.0
3.8170 -7.7136 0.0000
3.8170 7.7136 0.0000
-3.8099 0.0000 3.8162
Sr Mn O
4 4 10
Cartesian
3.8170 5.5489 0.0000
3.8623 2.1658 0.0544
3.8623 -2.1658 0.0544
3.8170 -5.5489 0.0000
-1.7701 0.0000 2.2080
1.9435 3.8559 1.9270
1.6573 0.0000 1.8279
1.9435 -3.8559 1.9270
1.9246 3.7922 0.0174
0.0352 3.7889 1.9402
1.8695 5.8799 1.8042
1.0524 0.0000 0.0158
0.0469 0.0000 2.8194
2.0738 1.8283 1.9927
1.9246 -3.7922 0.0174
0.0352 -3.7889 1.9402
2.0738 -1.8283 1.9927
1.8695 -5.8799 1.8042
```

## Properties
Calculated volume = 224.7 Å³/cell
Space-group type = Cm, No. 8

---

Model 3:
A PBEsol-optimized structure of Sr2Mn2O5, computed with meta-GGA SCAN.

Geometry as POSCAR:
```
Sr2Mn2O5
1.0
5.4866 0.0000 0.0000
0.0000 10.8040 0.0000
0.0000 0.0000 3.7722
Sr Mn O
4 4 10
Cartesian
1.1898 1.4368 0.0000
1.5535 6.8388 0.0000
3.9331 3.9652 0.0000
4.2968 9.3672 0.0000
1.3231 4.0624 1.8861
1.4202 9.4644 1.8861
4.0664 1.3396 1.8861
4.1635 6.7415 1.8861
0.0000 0.0000 1.8861
0.1430 7.9354 1.8861
1.1073 4.3100 0.0000
1.6360 9.7120 0.0000
2.6002 2.5334 1.8861
2.7433 5.4020 1.8861
2.8863 8.2706 1.8861
3.8506 1.0920 0.0000
4.3793 6.4940 0.0000
5.3435 2.8686 1.8861
```

## Properties
Calculated volume = 223.6 Å³/cell
Space-group type = Pbam, No. 55

---

According to the calculations, the structures order from most to least stable as model 3, model 1, model 2.

---

Model 1:
A PBEsol-optimized structure of MnTcO2, computed with meta-GGA SCAN.

Geometry as POSCAR:
```
MnTcO2
1.0
5.3353 0.0000 0.0000
0.0000 5.3353 0.0000
0.0000 0.0000 5.3353
Mn Tc O
4 4 8
Cartesian
0.0000 0.0000 0.0000
0.0000 2.6676 2.6676
2.6676 0.0000 2.6676
2.6676 2.6676 0.0000
0.0000 0.0000 2.6676
0.0000 2.6676 0.0000
2.6676 0.0000 0.0000
2.6676 2.6676 2.6676
1.3338 1.3338 1.3338
1.3338 1.3338 4.0015
1.3338 4.0015 1.3338
1.3338 4.0015 4.0015
4.0015 1.3338 1.3338
4.0015 1.3338 4.0015
4.0015 4.0015 1.3338
4.0015 4.0015 4.0015
```

## Properties
Calculated volume = 151.9 Å³/cell
Space-group type = Fm-3m, No. 225

---

Model 2:
A PBEsol-optimized structure of MnTcO2, computed with meta-GGA SCAN.

Geometry as POSCAR:
```
MnTcO2
1.0
2.7199 0.0000 0.0000
-1.3600 2.3555 0.0000
0.0000 0.0000 18.7523
Mn Tc O
3 3 6
Cartesian
0.0000 0.0000 0.0000
0.0000 1.5704 12.5016
1.3600 0.7852 6.2508
0.0000 0.0000 9.3762
0.0000 1.5704 3.1254
1.3600 0.7852 15.6269
0.0000 0.0000 7.3676
0.0000 0.0000 11.3848
0.0000 1.5704 1.1168
0.0000 1.5704 5.1340
1.3600 0.7852 13.6184
1.3600 0.7852 17.6355
```

## Properties
Calculated volume = 120.1 Å³/cell
Space-group type = R-3m, No. 166

---

According to the calculations, the structures order from most to least stable as model 2, model 1.

---

Model 1:
A PBEsol-optimized structure of Mn3TeO6, computed with meta-GGA SCAN.

Geometry as POSCAR:
```
Mn3TeO6
1.0
4.4120 2.5473 3.5619
-4.4120 2.5473 3.5619
0.0000 -5.0945 3.5619
Mn Te O
6 2 12
Cartesian
-3.0835 -0.8243 4.8343
-0.8279 -3.0825 5.8513
-2.2556 2.2583 5.8513
2.2556 -2.2583 4.8343
0.8279 3.0826 4.8343
3.0835 0.8243 5.8514
0.0000 0.0000 0.0000
0.0000 0.0000 5.3428
-2.8931 -2.7549 5.9046
-3.8323 1.1281 4.7811
-1.0361 -1.2893 4.2982
0.9392 -3.8829 4.7811
-1.6346 0.2527 6.3874
-0.5985 1.5419 4.2982
0.5985 -1.5419 6.3874
1.6346 -0.2527 4.2982
-0.9392 3.8829 5.9046
1.0361 1.2893 6.3874
3.8324 -1.1281 5.9046
2.8931 2.7549 4.7811
```

## Properties
Calculated volume = 240.2 Å³/cell
Space-group type = R-3, No. 148

---

Model 2:
A PBEsol-optimized structure of Mn3TeO6, computed with meta-GGA SCAN.

Geometry as POSCAR:
```
Mn3TeO6
1.0
5.1024 0.0000 0.0000
0.0000 5.2352 0.0000
-4.7280 0.0000 8.4756
Mn Te O
6 2 12
Cartesian
0.0000 0.0000 0.0000
-2.3640 2.6176 4.2378
-2.3767 0.2879 6.1847
-0.0127 2.3297 1.9469
0.3870 2.9055 6.5286
2.7510 4.9473 2.2908
0.1872 0.0000 4.2378
2.5512 2.6176 0.0000
-1.5441 1.0551 3.5992
-3.9082 1.5625 7.8370
-0.9894 3.6336 3.3286
-3.3534 4.2192 7.5664
0.9893 0.6402 2.3087
-1.3747 1.9774 6.5465
1.7491 3.2578 1.9290
-0.6149 4.5949 6.1668
3.7278 1.0160 0.9091
1.3638 1.6016 5.1469
4.2825 3.6727 0.6385
1.9185 4.1801 4.8763
```

## Properties
Calculated volume = 226.4 Å³/cell
Space-group type = P2_1/c, No. 14

---

According to the calculations, the structures order from most to least stable as model 1, model 2.